# AcSiOsN, relaxed, DFT GGA-PBE
data_AcSiOsN
_cell_length_a 4.1295
_cell_length_b 4.1295
_cell_length_c 8.3648
_cell_angle_alpha 90.00
_cell_angle_beta 90.00
_cell_angle_gamma 90.00
_space_group_name_H-M_alt 'P 4/n m m'
_space_group_IT_number 129
loop_
_space_group_symop_operation_xyz
'x,y,z'
'-x,-y,-z'
'-y+1/2,x,z'
'y+1/2,-x,-z'
'-x+1/2,-y+1/2,z'
'x+1/2,y+1/2,-z'
'y,-x+1/2,z'
'-y,x+1/2,-z'
'x+1/2,-y,-z'
'-x+1/2,y,z'
'-y,-x,-z'
'y,x,z'
'-x,y+1/2,-z'
'x,-y+1/2,z'
'y+1/2,x+1/2,-z'
'-y+1/2,-x+1/2,z'
loop_
_atom_site_label
_atom_site_type_symbol
_atom_site_fract_x
_atom_site_fract_y
_atom_site_fract_z
Ac1 Ac 0.2500 0.2500 0.1665
Si1 Si 0.2500 0.2500 0.6462
Os1 Os 0.2500 0.7500 0.5000
N1 N 0.2500 0.2500 0.8593
# - Energy relative to the elements, uncorrected: -365.6 kJ/mol of formula units
# - Final energy: -8.219 eV/atom

***

# K2AcGeS4, relaxed, DFT GGA-PBE
data_K2AcGeS4
_cell_length_a 7.4085
_cell_length_b 7.4085
_cell_length_c 9.6727
_cell_angle_alpha 90.00
_cell_angle_beta 90.00
_cell_angle_gamma 90.00
_space_group_name_H-M_alt 'I -4'
_space_group_IT_number 82
loop_
_space_group_symop_operation_xyz
'x,y,z'
'y,-x,-z'
'-x,-y,z'
'-y,x,-z'
'x+1/2,y+1/2,z+1/2'
'y+1/2,-x+1/2,-z+1/2'
'-x+1/2,-y+1/2,z+1/2'
'-y+1/2,x+1/2,-z+1/2'
loop_
_atom_site_label
_atom_site_type_symbol
_atom_site_fract_x
_atom_site_fract_y
_atom_site_fract_z
K1 K 0.0000 0.0000 0.0000
K2 K 0.0000 0.5000 0.2500
Ac1 Ac 0.0000 0.0000 0.5000
Ge1 Ge 0.0000 0.5000 0.7500
S1 S 0.1911 0.2809 0.6397
# - Energy relative to the elements, uncorrected: -844.0 kJ/mol of formula units
# - Final energy: -4.522 eV/atom

***

Q: Number 1 is which compound?
A: AcSiOsN